<i>
Here is an optimized crystal structure of Zn3NiSb from Alexandria via LeMat-Bulk. Energies are from PBE-GGA.

Cell: 4.593 4.593 4.593 Å, 90.00 90.00 90.00°
Fractional positions:
1 Sb 0.500 0.500 0.500
2 Zn 0.000 0.500 0.000
3 Ni 0.000 0.000 0.000
4 Zn 0.500 0.000 0.000
5 Zn 0.000 0.000 0.500

Summary:
The symmetry is Pm-3m. Its magnetization is 0.0000 μB/atom. The crystal system is cubic.


<ii>
Here is an optimized crystal structure of Zn3NiSb from Alexandria via LeMat-Bulk. Energies are from PBE-GGA.

Cell: 5.176 5.176 5.176 Å, 90.00 90.00 90.00°
Fractional positions:
1 Zn 0.500 0.000 0.000
2 Zn 0.000 0.500 0.000
3 Ni 0.500 0.500 0.500
4 Sb 0.000 0.000 0.000
5 Zn 0.000 0.000 0.500

Summary:
The symmetry is Pm-3m. Its magnetization is 0.0000 μB/atom. The crystal system is cubic.


Which of them is most stable? Easy: <i>.


<i>
Here is an optimized crystal structure of Sc3Ni4 from Alexandria via LeMat-Bulk. Energies are from PBE-GGA.

Cell: 7.097 7.097 7.097 Å, 114.22 114.22 114.22°
Fractional positions:
1 Sc 0.522 0.775 0.904
2 Sc 0.096 0.478 0.225
3 Ni 0.952 0.274 0.439
4 Ni 0.561 0.048 0.726
5 Ni 0.274 0.439 0.952
6 Ni 0.000 0.000 0.000
7 Sc 0.478 0.225 0.096
8 Ni 0.048 0.726 0.561
9 Ni 0.726 0.561 0.048
10 Ni 0.439 0.952 0.274
11 Sc 0.775 0.904 0.522
12 Sc 0.904 0.522 0.775
13 Sc 0.225 0.096 0.478
14 Ni 0.500 0.500 0.500

Summary:
The symmetry is R-3. Its magnetization is 0.0000 μB/atom. The crystal system is trigonal.


<ii>
Here is an optimized crystal structure of Sc3Ni4 from Alexandria via LeMat-Bulk. Energies are from PBE-GGA.

Cell: 5.622 5.622 4.307 Å, 90.00 90.00 120.00°
Each line ends with the local moment (μB).
Fractional positions:
1 Ni 0.000 0.000 0.253  0.45
2 Ni 0.667 0.333 0.500  -0.02
3 Sc 0.000 0.500 0.000  0.03
4 Sc 0.500 0.500 0.000  0.03
5 Ni 0.000 0.000 0.747  0.45
6 Sc 0.500 0.000 0.000  0.03
7 Ni 0.333 0.667 0.500  -0.02

Summary:
The symmetry is P6/mmm. Its magnetization is 0.1350 μB/atom. The crystal system is hexagonal.


Which of them is most stable? Easy: <i>.


<i>
Here is an optimized crystal structure of Sc4Ni3 from Alexandria via LeMat-Bulk. Energies are from PBE-GGA.

Cell: 4.224 5.106 6.638 Å, 105.13 108.55 90.00°
Fractional positions:
1 Ni 0.000 0.000 0.000
2 Sc 0.159 0.794 0.318
3 Sc 0.408 0.722 0.816
4 Sc 0.592 0.278 0.184
5 Ni 0.224 0.331 0.447
6 Ni 0.776 0.669 0.553
7 Sc 0.841 0.206 0.682

Summary:
The symmetry is C2/m. Its magnetization is 0.0000 μB/atom. The crystal system is monoclinic.


<ii>
Here is an optimized crystal structure of Sc4Ni3 from Alexandria via LeMat-Bulk. Energies are from PBE-GGA.

Cell: 12.012 12.012 12.012 Å, 164.35 164.35 22.20°
Fractional positions:
1 Sc 0.169 0.169 0.000
2 Sc 0.437 0.437 0.000
3 Sc 0.563 0.563 0.000
4 Ni 0.000 0.000 0.000
5 Sc 0.831 0.831 0.000
6 Ni 0.280 0.280 0.000
7 Ni 0.720 0.720 0.000

Summary:
The symmetry is I4/mmm. Its magnetization is 0.0000 μB/atom. The crystal system is tetragonal.


<iii>
Here is an optimized crystal structure of Sc4Ni3 from Alexandria via LeMat-Bulk. Energies are from PBE-GGA.

Cell: 5.076 5.076 5.331 Å, 90.00 90.00 120.00°
Fractional positions:
1 Sc 0.667 0.333 0.500
2 Sc 0.000 0.000 0.757
3 Ni 0.500 0.500 0.000
4 Sc 0.000 0.000 0.243
5 Sc 0.333 0.667 0.500
6 Ni 0.000 0.500 0.000
7 Ni 0.500 0.000 0.000

Summary:
The symmetry is P6/mmm. Its magnetization is 0.0000 μB/atom. The crystal system is hexagonal.


Which of them is most stable? Easy: <i>.


<i>
Here is an optimized crystal structure of Sc5Ni3 from Alexandria via LeMat-Bulk. Energies are from PBE-GGA.

Cell: 7.751 7.751 5.577 Å, 90.00 90.00 59.99°
Fractional positions:
1 Sc 0.243 0.000 0.250
2 Ni 0.402 0.598 0.250
3 Ni 0.000 0.402 0.250
4 Sc 0.000 0.243 0.750
5 Sc 0.667 0.667 0.500
6 Ni 0.000 0.598 0.750
7 Ni 0.402 0.000 0.750
8 Sc 0.757 0.243 0.250
9 Ni 0.598 0.402 0.750
10 Sc 0.333 0.333 0.500
11 Sc 0.243 0.757 0.750
12 Sc 0.000 0.757 0.250
13 Sc 0.333 0.333 0.000
14 Sc 0.757 0.000 0.750
15 Ni 0.598 0.000 0.250
16 Sc 0.667 0.667 0.000

Summary:
The symmetry is P6_3/mcm. Its magnetization is 0.0000 μB/atom. The crystal system is hexagonal.


<ii>
Here is an optimized crystal structure of Sc5Ni3 from Alexandria via LeMat-Bulk. Energies are from PBE-GGA.

Cell: 5.758 10.136 10.136 Å, 90.00 90.00 90.00°
Fractional positions:
1 Ni 0.117 0.500 0.000
2 Sc 0.000 0.500 0.500
3 Ni 0.383 0.000 0.500
4 Sc 0.868 0.413 0.209
5 Ni 0.250 0.156 0.844
6 Ni 0.750 0.844 0.844
7 Ni 0.750 0.656 0.344
8 Ni 0.617 0.500 0.000
9 Sc 0.500 0.000 0.000
10 Sc 0.000 0.000 0.000
11 Ni 0.250 0.656 0.656
12 Sc 0.868 0.291 0.913
13 Ni 0.250 0.344 0.344
14 Sc 0.368 0.413 0.791
15 Ni 0.750 0.344 0.656
16 Sc 0.868 0.587 0.791
17 Sc 0.368 0.587 0.209
18 Sc 0.132 0.087 0.291
19 Sc 0.132 0.209 0.587
20 Ni 0.883 0.000 0.500
21 Sc 0.632 0.913 0.291
22 Sc 0.368 0.291 0.087
23 Sc 0.632 0.087 0.709
24 Sc 0.868 0.709 0.087
25 Ni 0.750 0.156 0.156
26 Sc 0.500 0.500 0.500
27 Ni 0.250 0.844 0.156
28 Sc 0.632 0.791 0.587
29 Sc 0.132 0.913 0.709
30 Sc 0.368 0.709 0.913
31 Sc 0.632 0.209 0.413
32 Sc 0.132 0.791 0.413

Summary:
The symmetry is P4/ncc. Its magnetization is 0.0000 μB/atom. The crystal system is tetragonal.


Which of them is most stable? Easy: <ii>.


<i>
Here is an optimized crystal structure of Sc4Ni from Alexandria via LeMat-Bulk. Energies are from PBE-GGA.

Cell: 4.923 4.923 4.923 Å, 90.00 90.00 90.00°
Fractional positions:
1 Sc 0.500 0.500 0.000
2 Sc 0.000 0.000 0.000
3 Ni 0.500 0.500 0.500
4 Sc 0.500 0.000 0.500
5 Sc 0.000 0.500 0.500

Summary:
The symmetry is Pm-3m. Its magnetization is 0.0002 μB/atom. The crystal system is cubic.


<ii>
Here is an optimized crystal structure of Sc4Ni from Alexandria via LeMat-Bulk. Energies are from PBE-GGA.

Cell: 8.821 8.821 8.821 Å, 156.10 156.10 34.06°
Fractional positions:
1 Sc 0.250 0.750 0.500
2 Sc 0.417 0.417 0.000
3 Ni 0.000 0.000 0.000
4 Sc 0.750 0.250 0.500
5 Sc 0.583 0.583 0.000

Summary:
The symmetry is I4/mmm. Its magnetization is 0.0000 μB/atom. The crystal system is tetragonal.


Which of them is most stable? Easy: <i>.


<i>
Here is an optimized crystal structure of Sc4Ni from Alexandria via LeMat-Bulk. Energies are from PBE-GGA.

Cell: 5.340 5.340 5.340 Å, 109.47 109.47 109.47°
Fractional positions:
1 Sc 0.000 0.500 0.000
2 Ni 0.000 0.000 0.000
3 Sc 0.500 0.000 0.000
4 Sc 0.000 0.000 0.500
5 Sc 0.500 0.500 0.500

Summary:
The symmetry is Im-3m. Its magnetization is 0.0001 μB/atom. The crystal system is cubic.


<ii>
Here is an optimized crystal structure of Sc4Ni from Alexandria via LeMat-Bulk. Energies are from PBE-GGA.

Cell: 6.647 6.647 6.646 Å, 107.57 107.57 113.35°
Fractional positions:
1 Sc 0.643 0.472 0.775
2 Ni 0.330 0.330 0.000
3 Sc 0.118 0.446 0.725
4 Sc 0.214 0.939 0.672
5 Sc 0.792 0.017 0.828
6 Ni 0.580 0.080 0.500
7 Sc 0.722 0.393 0.275
8 Sc 0.696 0.868 0.225
9 Sc 0.267 0.542 0.328
10 Sc 0.189 0.964 0.172

Summary:
The symmetry is I-42d. Its magnetization is 0.0022 μB/atom. The crystal system is tetragonal.


Which of them is most stable? Easy: <ii>.


<i>
Here is an optimized crystal structure of Sc5Ni4 from Alexandria via LeMat-Bulk. Energies are from PBE-GGA.

Cell: 6.162 6.162 6.162 Å, 98.19 98.19 135.66°
Fractional positions:
1 Ni 0.000 0.348 0.348
2 Sc 0.685 0.685 0.369
3 Sc 0.315 0.315 0.631
4 Sc 0.315 0.685 0.000
5 Ni 0.652 0.000 0.652
6 Sc 0.000 0.000 0.000
7 Sc 0.685 0.315 0.000
8 Ni 0.000 0.652 0.652
9 Ni 0.348 0.000 0.348

Summary:
The symmetry is I4/mmm. Its magnetization is 0.0000 μB/atom. The crystal system is tetragonal.


<ii>
Here is an optimized crystal structure of Sc5Ni4 from Alexandria via LeMat-Bulk. Energies are from PBE-GGA.

Cell: 7.978 7.978 5.590 Å, 90.00 90.00 60.00°
Fractional positions:
1 Ni 0.610 0.390 0.250
2 Sc 0.333 0.333 0.500
3 Sc 0.000 0.279 0.250
4 Sc 0.333 0.333 0.000
5 Sc 0.721 0.000 0.250
6 Ni 0.390 0.000 0.250
7 Sc 0.279 0.000 0.750
8 Sc 0.000 0.721 0.750
9 Sc 0.667 0.667 0.500
10 Ni 0.610 0.000 0.750
11 Sc 0.279 0.721 0.250
12 Ni 0.000 0.610 0.250
13 Ni 0.000 0.000 0.500
14 Ni 0.000 0.000 0.000
15 Ni 0.390 0.610 0.750
16 Sc 0.667 0.667 0.000
17 Ni 0.000 0.390 0.750
18 Sc 0.721 0.279 0.750

Summary:
The symmetry is P6_3/mcm. Its magnetization is 0.0000 μB/atom. The crystal system is hexagonal.


Which of them is most stable? Easy: <ii>.


<i>
Here is an optimized crystal structure of ScNiSe from Alexandria via LeMat-Bulk. Energies are from PBE-GGA.

Cell: 4.186 4.186 4.186 Å, 60.00 60.00 60.00°
Fractional positions:
1 Se 0.500 0.500 0.500
2 Sc 0.000 0.000 0.000
3 Ni 0.250 0.250 0.250

Summary:
The symmetry is F-43m. Its magnetization is 0.0000 μB/atom. The crystal system is cubic.


<ii>
Here is an optimized crystal structure of ScNiSe from Alexandria via LeMat-Bulk. Energies are from PBE-GGA.

Cell: 3.956 3.956 3.618 Å, 90.00 90.00 120.00°
Fractional positions:
1 Se 0.333 0.667 0.832
2 Sc 0.667 0.333 0.333
3 Ni 0.000 0.000 0.835

Summary:
The symmetry is P3m1. Its magnetization is 0.0000 μB/atom. The crystal system is trigonal.


Which of them is most stable? Easy: <ii>.


<i>
Here is an optimized crystal structure of ScNiSe from Alexandria via LeMat-Bulk. Energies are from PBE-GGA.

Cell: 4.759 4.759 3.542 Å, 68.15 68.15 43.70°
Fractional positions:
1 Sc 0.332 0.332 0.668
2 Ni 0.988 0.988 0.012
3 Se 0.681 0.681 0.319

Summary:
The symmetry is I4mm. Its magnetization is 0.0000 μB/atom. The crystal system is tetragonal.


<ii>
Here is an optimized crystal structure of ScNiSe from Alexandria via LeMat-Bulk. Energies are from PBE-GGA.

Cell: 4.355 4.355 4.355 Å, 60.00 60.00 60.00°
Fractional positions:
1 Sc 0.250 0.250 0.250
2 Ni 0.500 0.500 0.500
3 Se 0.000 0.000 0.000

Summary:
The symmetry is F-43m. Its magnetization is 0.0000 μB/atom. The crystal system is cubic.


Which of them is most stable? Easy: <i>.


<i>
Here is an optimized crystal structure of ScNiSe3 from Alexandria via LeMat-Bulk. Energies are from PBE-GGA.

Cell: 5.115 5.115 5.115 Å, 90.00 90.00 90.00°
Each line ends with the local moment (μB).
Fractional positions:
1 Ni 0.500 0.500 0.500  1.03
2 Se 0.000 0.500 0.000  0.25
3 Se 0.000 0.000 0.500  0.22
4 Sc 0.000 0.000 0.000  -0.01
5 Se 0.500 0.000 0.000  0.14

Summary:
The symmetry is Pm-3m. Its magnetization is 0.3896 μB/atom. The crystal system is cubic.


<ii>
Here is an optimized crystal structure of ScNiSe3 from Alexandria via LeMat-Bulk. Energies are from PBE-GGA.

Cell: 4.698 4.698 4.698 Å, 90.00 90.00 90.00°
Fractional positions:
1 Se 0.500 0.000 0.000
2 Se 0.000 0.000 0.500
3 Ni 0.000 0.000 0.000
4 Sc 0.500 0.500 0.500
5 Se 0.000 0.500 0.000

Summary:
The symmetry is Pm-3m. Its magnetization is 0.0000 μB/atom. The crystal system is cubic.


Which of them is most stable? Easy: <ii>.


<i>
Here is an optimized crystal structure of Sc2Si3Ni from Alexandria via LeMat-Bulk. Energies are from PBE-GGA.

Cell: 5.119 5.119 7.811 Å, 90.00 90.00 120.00°
Fractional positions:
1 Si 0.168 0.832 0.750
2 Sc 0.333 0.667 0.435
3 Ni 0.000 0.000 0.000
4 Si 0.832 0.168 0.250
5 Si 0.832 0.664 0.250
6 Sc 0.667 0.333 0.935
7 Si 0.336 0.168 0.250
8 Sc 0.667 0.333 0.565
9 Si 0.168 0.336 0.750
10 Ni 0.000 0.000 0.500
11 Sc 0.333 0.667 0.065
12 Si 0.664 0.832 0.750

Summary:
The symmetry is P6_3/mmc. Its magnetization is 0.0000 μB/atom. The crystal system is hexagonal.


<ii>
Here is an optimized crystal structure of Sc2Si3Ni from Alexandria via LeMat-Bulk. Energies are from PBE-GGA.

Cell: 5.383 5.383 7.734 Å, 109.44 109.44 92.51°
Fractional positions:
1 Si 0.827 0.343 0.170
2 Sc 0.250 0.750 0.500
3 Si 0.173 0.657 0.830
4 Sc 0.245 0.245 0.000
5 Sc 0.755 0.755 0.000
6 Sc 0.750 0.250 0.500
7 Ni 0.333 0.333 0.665
8 Si 0.829 0.829 0.659
9 Si 0.343 0.827 0.170
10 Si 0.657 0.173 0.830
11 Si 0.171 0.171 0.341
12 Ni 0.667 0.667 0.335

Summary:
The symmetry is Fmmm. Its magnetization is 0.0000 μB/atom. The crystal system is orthorhombic.


<iii>
Here is an optimized crystal structure of Sc2Si3Ni from Alexandria via LeMat-Bulk. Energies are from PBE-GGA.

Cell: 16.005 16.005 16.006 Å, 166.67 166.67 18.87°
Fractional positions:
1 Ni 0.182 0.182 0.000
2 Si 0.037 0.537 0.500
3 Sc 0.600 0.600 0.000
4 Si 0.537 0.037 0.500
5 Ni 0.818 0.818 0.000
6 Sc 0.250 0.750 0.500
7 Si 0.963 0.463 0.500
8 Si 0.316 0.316 0.000
9 Sc 0.750 0.250 0.500
10 Si 0.684 0.684 0.000
11 Si 0.463 0.963 0.500
12 Sc 0.400 0.400 0.000

Summary:
The symmetry is Fmmm. Its magnetization is 0.0000 μB/atom. The crystal system is orthorhombic.


Which of them is most stable? Easy: <ii>.